A plane-wave DFT calculation with PBE was carried out for a relaxed structure of LiLaNiRh2.

- N(E_F): 0.19 states/eV/atom
- Energy of formation from the pure elements: 0.83 eV/atom

a b c (Å): 4.937 4.937 4.826
angles (deg): 90.00 90.00 90.00
Positions (direct):
Li: 0.000 0.000 0.000
La: 0.500 0.500 0.500
Ni: 0.500 0.500 0.000
Rh: 0.000 0.500 0.500
Rh: 0.500 0.000 0.500